# 1
Compound: NdErCuSe3
Source: the Open Quantum Materials Database
Functional: PBE-GGA
Structure: optimized geometry

Lattice parameters (Å, degrees): 3.946 10.421 6.965 90.00 105.67 90.00
Fractional coordinates of all 12 atoms:
Nd: 0.225 0.250 0.467
Nd: 0.775 0.750 0.533
Er: 0.000 0.000 0.000
Er: 0.000 0.500 0.000
Cu: 0.490 0.750 0.948
Cu: 0.510 0.250 0.052
Se: 0.099 0.750 0.180
Se: 0.362 0.568 0.714
Se: 0.362 0.932 0.714
Se: 0.638 0.068 0.286
Se: 0.638 0.432 0.286
Se: 0.901 0.250 0.820

- Final energy: -5.33 eV/atom

---

# 2
Compound: PrCdIr
Source: the Open Quantum Materials Database
Functional: PBE-GGA
Structure: optimized geometry

Lattice parameters (Å, degrees): 4.787 4.787 4.787 60.00 60.00 60.00
Fractional coordinates of all 3 atoms:
Pr: 0.000 0.000 0.000
Cd: 0.500 0.500 0.500
Ir: 0.750 0.750 0.750

- Final energy: -5.18 eV/atom

---

# 3
Compound: CsNdOs
Source: the Open Quantum Materials Database
Functional: PBE-GGA
Structure: optimized geometry

Lattice parameters (Å, degrees): 5.071 5.071 5.071 60.00 60.00 60.00
Fractional coordinates of all 3 atoms:
Cs: 0.000 0.000 0.000
Nd: 0.500 0.500 0.500
Os: 0.250 0.250 0.250

- Final energy: -4.57 eV/atom

---

# 4
Compound: BaZrAgAu
Source: the Open Quantum Materials Database
Functional: PBE-GGA
Structure: optimized geometry

Lattice parameters (Å, degrees): 5.074 5.074 5.074 60.00 60.00 60.00
Fractional coordinates of all 4 atoms:
Ba: 0.000 0.000 0.000
Zr: 0.250 0.250 0.250
Ag: 0.750 0.750 0.750
Au: 0.500 0.500 0.500

- Excess energy over the best structure of this formula in the dataset: 8.0 kJ/mol of atoms

---

# 5
Compound: YZnCuGe
Source: the Open Quantum Materials Database
Functional: PBE-GGA
Structure: optimized geometry

Lattice parameters (Å, degrees): 4.688 4.688 4.688 60.00 60.00 60.00
Fractional coordinates of all 4 atoms:
Y: 0.000 0.000 0.000
Zn: 0.750 0.750 0.750
Cu: 0.500 0.500 0.500
Ge: 0.250 0.250 0.250

- Excess energy over the best structure of this formula in the dataset: 0.0 kJ/mol of atoms

---

# 6
Compound: Sm3Hg3PdAu2
Source: the Open Quantum Materials Database
Functional: PBE-GGA
Structure: optimized geometry

Lattice parameters (Å, degrees): 7.972 7.972 3.846 90.00 90.00 120.00
Fractional coordinates of all 9 atoms:
Sm: 0.000 0.607 0.000
Sm: 0.393 0.393 0.000
Sm: 0.607 0.000 0.000
Hg: 0.000 0.264 0.500
Hg: 0.264 0.000 0.500
Hg: 0.736 0.736 0.500
Pd: 0.000 0.000 0.000
Au: 0.333 0.667 0.500
Au: 0.667 0.333 0.500

- Final energy: -3.64 eV/atom

---

# 7
Compound: Dy3In2SnPt3
Source: the Open Quantum Materials Database
Functional: PBE-GGA
Structure: optimized geometry

Lattice parameters (Å, degrees): 3.898 7.633 7.633 119.99 90.00 90.00
Fractional coordinates of all 9 atoms:
Dy: 0.000 0.000 0.000
Dy: 0.000 0.187 0.596
Dy: 0.000 0.596 0.187
In: 0.500 0.595 0.855
In: 0.500 0.855 0.595
Sn: 0.500 0.335 0.335
Pt: 0.000 0.591 0.591
Pt: 0.500 0.262 0.930
Pt: 0.500 0.930 0.262

- Final energy: -5.64 eV/atom

---

# 8
Compound: TbIrBr6
Source: the Open Quantum Materials Database
Functional: PBE-GGA
Structure: optimized geometry

Lattice parameters (Å, degrees): 6.642 6.642 6.847 99.55 99.55 119.81
Fractional coordinates of all 8 atoms:
Tb: 0.000 0.000 0.000
Ir: 0.332 0.668 0.000
Br: 0.105 0.448 0.234
Br: 0.258 0.288 0.762
Br: 0.419 0.054 0.241
Br: 0.552 0.895 0.766
Br: 0.712 0.742 0.238
Br: 0.946 0.581 0.759

- Final energy: -3.97 eV/atom

---

# 9
Compound: DyPtNO
Source: the Open Quantum Materials Database
Functional: PBE-GGA
Structure: optimized geometry

Lattice parameters (Å, degrees): 3.872 3.872 7.439 90.00 90.00 90.00
Fractional coordinates of all 8 atoms:
Dy: 0.250 0.250 0.148
Dy: 0.750 0.750 0.852
Pt: 0.250 0.750 0.500
Pt: 0.750 0.250 0.500
N: 0.250 0.250 0.661
N: 0.750 0.750 0.339
O: 0.250 0.750 0.000
O: 0.750 0.250 0.000

- Excess energy over the best structure of this formula in the dataset: 27.7 kJ/mol of atoms

---

# 10
Compound: LiYTlCu
Source: the Open Quantum Materials Database
Functional: PBE-GGA
Structure: optimized geometry

Lattice parameters (Å, degrees): 4.824 4.824 4.824 60.00 60.00 60.00
Fractional coordinates of all 4 atoms:
Li: 0.000 0.000 0.000
Y: 0.250 0.250 0.250
Tl: 0.500 0.500 0.500
Cu: 0.750 0.750 0.750

- Excess energy over the best structure of this formula in the dataset: 15.1 kJ/mol of atoms

---

# 11
Compound: Dy3HoTl2N2
Source: the Open Quantum Materials Database
Functional: PBE-GGA
Structure: optimized geometry

Lattice parameters (Å, degrees): 3.528 3.528 15.754 90.00 90.00 120.00
Fractional coordinates of all 8 atoms:
Dy: 0.000 0.000 0.000
Dy: 0.000 0.000 0.332
Dy: 0.333 0.667 0.501
Ho: 0.333 0.667 0.832
Tl: 0.000 0.000 0.667
Tl: 0.333 0.667 0.166
N: 0.667 0.333 0.416
N: 0.667 0.333 0.915

- Final energy: -5.97 eV/atom

---

# 12
Compound: LaSm3S3O4
Source: the Open Quantum Materials Database
Functional: PBE-GGA
Structure: optimized geometry

Lattice parameters (Å, degrees): 8.251 6.598 6.598 34.57 90.00 90.00
Fractional coordinates of all 11 atoms:
La: 0.000 0.000 0.000
Sm: 0.236 0.695 0.695
Sm: 0.500 0.023 0.023
Sm: 0.764 0.695 0.695
S: 0.000 0.315 0.315
S: 0.368 0.361 0.361
S: 0.632 0.361 0.361
O: 0.000 0.597 0.597
O: 0.247 0.096 0.096
O: 0.500 0.625 0.625
O: 0.753 0.096 0.096

- Final energy: -7.50 eV/atom